Here is a relaxed OsWCl crystal from Alexandria via LeMat-Bulk. Energies are from PBE.

a = 4.2890 Å, b = 4.2890 Å, c = 4.2890 Å
α = 60.00°, β = 60.00°, γ = 60.00°
Fractional positions:
Os 0.7500 0.7500 0.7500
W 0.0000 0.0000 0.0000
Cl 0.5000 0.5000 0.5000

Results
**Symmetry**: F-43m, No. 216
**Distance to the lowest polymorph of the same formula**: 864 meV per atom
**Volume**: 55.79 Å³ per cell
**ΔE_f (raw)**: 1.212 eV per atom

Here is a relaxed KCuF3 crystal from Alexandria via LeMat-Bulk. Energies are from PBE.

a = 6.2992 Å, b = 6.2992 Å, c = 6.2992 Å
α = 111.96°, β = 111.96°, γ = 104.61°
Fractional positions:
F 0.3131 0.1869 0.5000
F 0.7500 0.2500 0.5000
F 0.6869 0.8131 0.5000
F 0.1869 0.6869 0.8738
F 0.2500 0.7500 0.5000
F 0.8131 0.3131 0.1262
Cu 0.0000 0.5000 0.5000
Cu 0.5000 0.0000 0.5000
K 0.5000 0.5000 0.0000
K 0.0000 0.0000 0.0000

Results
**Symmetry**: I4/mcm, No. 140
**Volume**: 191.38 Å³ per cell
**ΔE_f (raw)**: -1.974 eV per atom